The following is a DFT calculation (PBE-GGA) of an optimized crystal structure of K2PuSiSe4.

Properties
Formation energy without anion corrections, eV per atom: -0.9298
E, eV per atom: -5.416
V, Å³ per cell: 449.5
Space group: Imma, No. 74
N(E_F), states/eV/cell: 21.419

abc: 8.5898 8.5898 8.6880
angles: 120.38 120.38 89.65
Last column: nearest neighbours and their distance in Å.
Sites, in units of the cell vectors:
K1 0.5000 0.0000 0.0000  6 Se 3.24-3.26
K2 0.5000 0.0000 0.5000  6 Se 3.24-3.26
K3 0.0000 0.0000 0.5000  6 Se 3.31
K4 0.5000 0.5000 0.0000  6 Se 3.31
Pu1 0.0000 0.5000 0.0000  6 Se 2.84-2.89
Pu2 0.0000 0.5000 0.5000  6 Se 2.84-2.89
Si1 0.5000 0.5000 0.5000  6 Se 2.77-2.82
Si2 0.0000 0.0000 0.0000  6 Se 2.77-2.82
Se1 0.1978 0.7425 0.9702  1 Si 2.77, 2 Pu 2.89
Se2 0.7575 0.3022 0.5298  1 Si 2.77, 2 Pu 2.89
Se3 0.2425 0.6978 0.4702  1 Si 2.77, 2 Pu 2.89
Se4 0.8022 0.2575 0.0298  1 Si 2.77, 2 Pu 2.89
Se5 0.7676 0.7324 0.9600  2 Si 2.82, 1 Pu 2.84
Se6 0.7676 0.7324 0.5400  2 Si 2.82, 1 Pu 2.84
Se7 0.2324 0.2676 0.4600  2 Si 2.82, 1 Pu 2.84
Se8 0.2324 0.2676 0.0400  2 Si 2.82, 1 Pu 2.84

---

The following is a DFT calculation (PBE-GGA) of an optimized crystal structure of KSmPu2Se4.

Properties
Formation energy without anion corrections, eV per atom: -1.5298
E, eV per atom: -7.582
V, Å³ per cell: 219.1
Space group: P2/m, No. 10
N(E_F), states/eV/cell: 27.385

abc: 4.2106 7.3698 7.4671
angles: 70.97 90.00 90.00
Last column: nearest neighbours and their distance in Å.
Sites, in units of the cell vectors:
K1 0.5000 0.5000 0.0000  6 Se 3.10-3.13
Sm1 0.0000 0.5000 0.5000  6 Se 3.00-3.01
Pu1 0.0000 0.0000 0.0000  6 Se 3.01-3.05
Pu2 0.5000 0.0000 0.5000  6 Se 2.90-2.94
Se1 0.0000 0.7666 0.7300  3 Pu 2.90-3.05, 1 Sm 3.00, 2 K 3.13
Se2 0.0000 0.2334 0.2700  3 Pu 2.90-3.05, 1 Sm 3.00, 2 K 3.13
Se3 0.5000 0.7569 0.2558  3 Pu 2.94-3.01, 2 Sm 3.01, 1 K 3.10
Se4 0.5000 0.2431 0.7442  3 Pu 2.94-3.01, 2 Sm 3.01, 1 K 3.10

---

The following is a DFT calculation (PBE-GGA) of an optimized crystal structure of K3SmPu2Se6.

Properties
Formation energy without anion corrections, eV per atom: -1.5572
E, eV per atom: -6.356
V, Å³ per cell: 366.1
Space group: C2/m, No. 12
N(E_F), states/eV/cell: 22.453

abc: 7.4295 7.4295 8.0497
angles: 98.85 98.85 120.00
Last column: nearest neighbours and their distance in Å.
Sites, in units of the cell vectors:
K1 0.1661 0.8339 0.5000  6 Se 3.33-3.35
K2 0.8339 0.1661 0.5000  6 Se 3.33-3.35
K3 0.5000 0.5000 0.5000  6 Se 3.33-3.35
Sm1 0.0000 0.0000 0.0000  6 Se 2.96
Pu1 0.3333 0.6667 0.0000  6 Se 2.93
Pu2 0.6667 0.3333 0.0000  6 Se 2.93
Se1 0.9311 0.5951 0.7935  2 Pu 2.93, 1 Sm 2.96
Se2 0.7327 0.7327 0.2065  2 Pu 2.93, 1 Sm 2.96
Se3 0.0689 0.4049 0.2065  2 Pu 2.93, 1 Sm 2.96
Se4 0.5951 0.9311 0.7935  2 Pu 2.93, 1 Sm 2.96
Se5 0.2673 0.2673 0.7935  2 Pu 2.93, 1 Sm 2.96
Se6 0.4049 0.0689 0.2065  2 Pu 2.93, 1 Sm 2.96

---

The following is a DFT calculation (PBE-GGA) of an optimized crystal structure of K2SmPuSe4.

Properties
Formation energy without anion corrections, eV per atom: -1.6026
E, eV per atom: -6.001
V, Å³ per cell: 245.2
Space group: P2/m, No. 10
N(E_F), states/eV/cell: 12.108

abc: 4.2965 7.4509 8.0546
angles: 107.99 90.00 90.00
Last column: nearest neighbours and their distance in Å.
Sites, in units of the cell vectors:
K1 0.5000 0.0000 0.5000  6 Se 3.34-3.35
K2 0.0000 0.5000 0.5000  6 Se 3.34-3.36
Sm1 0.5000 0.5000 0.0000  6 Se 2.95
Pu1 0.0000 0.0000 0.0000  6 Se 2.93-2.95
Se1 0.5000 0.2330 0.2053  2 Pu 2.93, 1 Sm 2.95
Se2 0.5000 0.7670 0.7947  2 Pu 2.93, 1 Sm 2.95
Se3 0.0000 0.2634 0.7912  1 Pu 2.95, 2 Sm 2.95
Se4 0.0000 0.7366 0.2088  1 Pu 2.95, 2 Sm 2.95

---

The following is a DFT calculation (PBE-GGA) of an optimized crystal structure of K4Sm3PuSe8.

Properties
Formation energy without anion corrections, eV per atom: -1.6769
E, eV per atom: -5.474
V, Å³ per cell: 492.5
Space group: R-3m, No. 166
N(E_F), states/eV/cell: 12.733

abc: 8.6057 9.1459 8.6058
angles: 118.07 120.00 90.00
Last column: nearest neighbours and their distance in Å.
Sites, in units of the cell vectors:
K1 0.5000 0.0000 0.0000  6 Se 3.35
K2 0.5000 0.0000 0.5000  6 Se 3.34-3.35
K3 0.0000 0.0000 0.0000  6 Se 3.34-3.35
K4 0.0000 0.0000 0.5000  6 Se 3.34-3.35
Sm1 0.5000 0.5000 0.0000  6 Se 2.95-2.96
Sm2 0.5000 0.5000 0.5000  6 Se 2.95-2.96
Sm3 0.0000 0.5000 0.5000  6 Se 2.95-2.96
Pu1 0.0000 0.5000 0.0000  6 Se 2.95
Se1 0.2354 0.7073 0.9720  1 Pu 2.95, 2 Sm 2.95
Se2 0.2354 0.7073 0.4708  1 Pu 2.95, 2 Sm 2.95
Se3 0.2635 0.2904 0.5269  3 Sm 2.96
Se4 0.7366 0.7073 0.9720  1 Pu 2.95, 2 Sm 2.95
Se5 0.2634 0.2927 0.0280  1 Pu 2.95, 2 Sm 2.95
Se6 0.7365 0.7096 0.4731  3 Sm 2.96
Se7 0.7646 0.2927 0.5292  1 Pu 2.95, 2 Sm 2.95
Se8 0.7646 0.2927 0.0280  1 Pu 2.95, 2 Sm 2.95

---

The following is a DFT calculation (PBE-GGA) of an optimized crystal structure of K3Sm3PuSe8.

Properties
Formation energy without anion corrections, eV per atom: -1.6439
E, eV per atom: -5.621
V, Å³ per cell: 489.9
Space group: R-3m, No. 166
N(E_F), states/eV/cell: 12.261

abc: 8.5147 8.5144 9.2224
angles: 117.50 90.00 120.00
Last column: nearest neighbours and their distance in Å.
Sites, in units of the cell vectors:
K1 0.0000 0.0000 0.0000  6 Se 3.35-3.37
K2 0.0000 0.5000 0.0000  6 Se 3.35-3.37
K3 0.5000 0.5000 0.0000  6 Se 3.35-3.37
Sm1 0.5000 0.0000 0.5000  6 Se 2.94-2.95
Sm2 0.5000 0.5000 0.5000  6 Se 2.94-2.95
Sm3 0.0000 0.5000 0.5000  6 Se 2.94-2.95
Pu1 0.0000 0.0000 0.5000  6 Se 2.86
Se1 0.2638 0.5276 0.2915  3 Sm 2.95
Se2 0.7362 0.4724 0.7085  3 Sm 2.95
Se3 0.7711 0.5422 0.2992  1 Pu 2.86, 2 Sm 2.94
Se4 0.2289 0.4578 0.7008  1 Pu 2.86, 2 Sm 2.94
Se5 0.7711 0.0280 0.2992  1 Pu 2.86, 2 Sm 2.94-2.95
Se6 0.2289 0.9720 0.7008  1 Pu 2.86, 2 Sm 2.94-2.95
Se7 0.2569 0.0280 0.2992  1 Pu 2.86, 2 Sm 2.94-2.95
Se8 0.7431 0.9720 0.7008  1 Pu 2.86, 2 Sm 2.94-2.95